First-principles (PBE-GGA) data for an optimized crystal structure of Ac6Ni2Br3Cl, as listed in Alexandria via LeMat-Bulk.

Results
Uncorrected formation energy   -1.01 eV per atom

a = 7.638 Å, b = 7.638 Å, c = 8.343 Å
α = 98.72°, β = 98.72°, γ = 119.99°
Atoms (fractional coordinates):
Ac1 0.932 0.570 0.798
Ac2 0.706 0.706 0.199
Ac3 0.068 0.430 0.202
Ac4 0.570 0.932 0.798
Ac5 0.294 0.294 0.801
Ac6 0.430 0.068 0.202
Ni1 0.333 0.667 0.000
Ni2 0.667 0.333 0.000
Br1 0.158 0.842 0.500
Br2 0.842 0.158 0.500
Br3 0.500 0.500 0.500
Cl1 0.000 0.000 0.000

---

First-principles (PBE-GGA) data for an optimized crystal structure of Ac12Si5H2, as listed in Alexandria via LeMat-Bulk.

Results
E   -88.14 eV/cell

a = 8.037 Å, b = 9.687 Å, c = 9.640 Å
α = 103.86°, β = 90.00°, γ = 114.51°
Atoms (fractional coordinates):
Ac1 0.994 0.988 0.188
Ac2 0.088 0.676 0.910
Ac3 0.588 0.676 0.910
Ac4 0.104 0.709 0.432
Ac5 0.606 0.709 0.432
Ac6 0.496 0.992 0.770
Ac7 0.504 0.008 0.230
Ac8 0.896 0.291 0.568
Ac9 0.394 0.291 0.568
Ac10 0.912 0.324 0.090
Ac11 0.412 0.324 0.090
Ac12 0.006 0.012 0.812
Si1 0.300 0.601 0.646
Si2 0.315 0.630 0.156
Si3 0.000 0.000 0.500
Si4 0.685 0.370 0.844
Si5 0.700 0.399 0.354
H1 0.754 0.000 0.000
H2 0.246 0.000 0.000

---

First-principles (PBE-GGA) data for an optimized crystal structure of LiTlAu2, as listed in Alexandria via LeMat-Bulk.

Results
Formation enthalpy at 0 K   -0.256 eV/atom

a = 5.170 Å, b = 5.170 Å, c = 4.271 Å
α = 65.60°, β = 65.60°, γ = 48.73°
Atoms (fractional coordinates):
Tl1 0.750 0.750 0.750
Au1 0.000 0.000 0.000
Au2 0.250 0.250 0.250
Li1 0.500 0.500 0.500

---

First-principles (PBE-GGA) data for an optimized crystal structure of NpPaRu2, as listed in Alexandria via LeMat-Bulk.

Results
Formation enthalpy at 0 K   -0.172 eV/atom

a = 3.514 Å, b = 4.723 Å, c = 4.723 Å
α = 90.00°, β = 90.00°, γ = 90.00°
Site moments in Bohr magnetons follow the coordinates.
Atoms (fractional coordinates):
Np1 0.500 0.000 0.000  3.46
Ru1 0.000 0.000 0.500  -0.29
Ru2 0.000 0.500 0.000  -0.29
Pa1 0.500 0.500 0.500  0.49

---

First-principles (PBE-GGA) data for an optimized crystal structure of Li5GeAu6, as listed in Alexandria via LeMat-Bulk.

Results
Formation enthalpy at 0 K   -0.472 eV/atom
Energy above the most stable polymorph in this dataset   0 meV/atom

a = 4.401 Å, b = 6.504 Å, c = 7.668 Å
α = 115.10°, β = 106.68°, γ = 90.00°
Atoms (fractional coordinates):
Ge1 0.000 0.000 0.000
Au1 0.830 0.571 0.659
Au2 0.830 0.089 0.659
Au3 0.500 0.736 0.000
Au4 0.500 0.264 0.000
Au5 0.170 0.911 0.341
Au6 0.170 0.429 0.341
Li1 0.662 0.162 0.324
Li2 0.331 0.331 0.661
Li3 0.000 0.500 0.000
Li4 0.669 0.669 0.339
Li5 0.338 0.838 0.676

---

First-principles (PBE-GGA) data for an optimized crystal structure of BaIrRh, as listed in Alexandria via LeMat-Bulk.

Results
Formation enthalpy at 0 K   0.174 eV/atom
Energy above the most stable polymorph in this dataset   156 meV/atom

a = 6.098 Å, b = 6.098 Å, c = 6.098 Å
α = 151.21°, β = 141.20°, γ = 49.02°
Atoms (fractional coordinates):
Ba1 0.002 0.002 0.000
Ir1 0.718 0.718 0.000
Rh1 0.280 0.280 0.000

---

First-principles (PBE-GGA) data for an optimized crystal structure of LiHoVRu, as listed in Alexandria via LeMat-Bulk.

Results
Formation enthalpy at 0 K   0.040 eV/atom

a = 4.582 Å, b = 4.582 Å, c = 4.582 Å
α = 60.00°, β = 60.00°, γ = 60.00°
Site moments in Bohr magnetons follow the coordinates.
Atoms (fractional coordinates):
Ru1 0.750 0.750 0.750  -0.37
Li1 0.250 0.250 0.250  0.01
Ho1 0.000 0.000 0.000  0.00
V1 0.500 0.500 0.500  1.53

---

First-principles (PBE-GGA) data for an optimized crystal structure of SrTiV2, as listed in Alexandria via LeMat-Bulk.

Results
Formation enthalpy at 0 K   1.190 eV/atom
Energy above the most stable polymorph in this dataset   214 meV/atom

a = 4.598 Å, b = 4.598 Å, c = 9.937 Å
α = 76.62°, β = 76.62°, γ = 90.00°
Site moments in Bohr magnetons follow the coordinates.
Atoms (fractional coordinates):
Sr1 0.000 0.000 0.000  0.03
Sr2 0.750 0.250 0.500  0.03
V1 0.375 0.125 0.250  0.12
V2 0.375 0.625 0.250  0.12
V3 0.375 0.625 0.750  0.12
V4 0.875 0.625 0.750  0.12
Ti1 0.500 0.500 0.000  0.22
Ti2 0.250 0.750 0.500  0.22

---

First-principles (PBE-GGA) data for an optimized crystal structure of Al2SiNi, as listed in Alexandria via LeMat-Bulk.

Results
Uncorrected formation energy   -0.11 eV per atom
Energy above the most stable polymorph in this dataset   202 meV/atom

a = 4.697 Å, b = 4.697 Å, c = 4.697 Å
α = 132.95°, β = 132.95°, γ = 68.74°
Atoms (fractional coordinates):
Ni1 0.500 0.500 0.000
Si1 0.750 0.250 0.500
Al1 0.000 0.000 0.000
Al2 0.250 0.750 0.500

---

First-principles (PBE-GGA) data for an optimized crystal structure of ScAlAgPb, as listed in Alexandria via LeMat-Bulk.

Results
Formation enthalpy at 0 K   -0.085 eV/atom
Energy above the most stable polymorph in this dataset   118 meV/atom

a = 5.450 Å, b = 3.082 Å, c = 5.767 Å
α = 90.00°, β = 115.66°, γ = 90.00°
Site moments in Bohr magnetons follow the coordinates.
Atoms (fractional coordinates):
Pb1 0.500 0.556 0.500  0.00
Sc1 0.000 0.060 0.500  0.29
Al1 0.000 0.560 0.000  0.00
Ag1 0.500 0.571 0.000  0.00

---

First-principles (PBE-GGA) data for an optimized crystal structure of BeCoIr, as listed in Alexandria via LeMat-Bulk.

Results
Formation enthalpy at 0 K   -0.249 eV/atom
Energy above the most stable polymorph in this dataset   0 meV/atom

a = 4.807 Å, b = 4.807 Å, c = 4.807 Å
α = 146.81°, β = 146.81°, γ = 47.64°
Site moments in Bohr magnetons follow the coordinates.
Atoms (fractional coordinates):
Be1 0.996 0.996 0.000  -0.03
Ir1 0.655 0.655 0.000  0.40
Co1 0.349 0.349 0.000  1.43

---

First-principles (PBE-GGA) data for an optimized crystal structure of BaTe3, as listed in Alexandria via LeMat-Bulk.

Results
Uncorrected formation energy   -0.69 eV per atom

a = 5.461 Å, b = 5.461 Å, c = 4.571 Å
α = 90.00°, β = 90.00°, γ = 99.13°
Atoms (fractional coordinates):
Ba1 0.000 0.000 0.000
Te1 0.000 0.500 0.500
Te2 0.500 0.000 0.500
Te3 0.500 0.500 0.000